Model a:
Density functional theory data (PBE) for a relaxed structure of CaCu2Tc.

Cell: 4.576 4.576 4.576 Å, 60.00 60.00 60.00°
Atoms (fractional coordinates):
Tc 0.500 0.500 0.500
Ca 0.000 0.000 0.000
Cu 0.750 0.750 0.750
Cu 0.250 0.250 0.250

* spin magnetization: 2.2 μB/cell
* mass density: 6.50 Mg/m³
* symmetry: Fm-3m

Model b:
Density functional theory data (PBE) for a relaxed structure of CaCu2Tc.

Cell: 9.054 9.054 9.054 Å, 18.47 18.47 18.47°
Atoms (fractional coordinates):
Cu 0.990 0.990 0.990
Cu 0.252 0.252 0.252
Tc 0.510 0.510 0.510
Ca 0.749 0.749 0.749

* spin magnetization: 0.1 μB/cell
* mass density: 6.77 Mg/m³
* symmetry: R3m

Here is how they stack up, most stable first: model a, model b.

Model a:
Density functional theory data (PBE) for a relaxed structure of CaCuTe.

Cell: 4.726 4.726 4.726 Å, 60.00 60.00 60.00°
Atoms (fractional coordinates):
Ca 0.500 0.500 0.500
Te 0.000 0.000 0.000
Cu 0.750 0.750 0.750

* spin magnetization: 0.0 μB/cell
* mass density: 5.14 Mg/m³
* symmetry: F-43m

Model b:
Density functional theory data (PBE) for a relaxed structure of CaCuTe.

Cell: 4.412 4.412 4.276 Å, 90.00 90.00 120.00°
Atoms (fractional coordinates):
Ca 0.000 0.000 0.017
Cu 0.667 0.333 0.456
Te 0.333 0.667 0.527

* spin magnetization: 0.0 μB/cell
* mass density: 5.33 Mg/m³
* symmetry: P3m1

Here is how they stack up, most stable first: model b, model a.

Model a:
Density functional theory data (PBE) for a relaxed structure of Ca2Cu2Te.

Cell: 7.493 7.493 4.119 Å, 90.00 90.00 90.00°
Atoms (fractional coordinates):
Cu 0.113 0.387 0.000
Cu 0.387 0.887 0.000
Cu 0.887 0.613 0.000
Cu 0.613 0.113 0.000
Te 0.500 0.500 0.000
Te 0.000 0.000 0.000
Ca 0.678 0.822 0.500
Ca 0.178 0.678 0.500
Ca 0.322 0.178 0.500
Ca 0.822 0.322 0.500

* spin magnetization: 0.0 μB/cell
* mass density: 4.81 Mg/m³
* symmetry: P4/mbm

Model b:
Density functional theory data (PBE) for a relaxed structure of Ca2Cu2Te.

Cell: 5.172 5.172 6.100 Å, 64.92 64.92 90.00°
Atoms (fractional coordinates):
Ca 0.250 0.750 0.500
Ca 0.750 0.250 0.500
Cu 0.383 0.383 0.235
Cu 0.617 0.617 0.765
Te 0.000 0.000 0.000

* spin magnetization: 0.0 μB/cell
* mass density: 4.26 Mg/m³
* symmetry: I4/mmm

Here is how they stack up, most stable first: model a, model b.

Model a:
Density functional theory data (PBE) for a relaxed structure of CaThCu.

Cell: 3.502 3.502 7.160 Å, 104.16 104.16 90.00°
Atoms (fractional coordinates):
Th 0.298 0.298 0.597
Cu 0.673 0.673 0.347
Ca 0.028 0.028 0.057

* spin magnetization: 0.0 μB/cell
* mass density: 6.77 Mg/m³
* symmetry: I4mm

Model b:
Density functional theory data (PBE) for a relaxed structure of CaThCu.

Cell: 4.927 4.927 8.901 Å, 73.93 73.93 60.00°
Atoms (fractional coordinates):
Th 0.370 0.370 0.890
Th 0.630 0.630 0.110
Cu 0.256 0.256 0.231
Cu 0.744 0.744 0.769
Ca 0.875 0.875 0.375
Ca 0.125 0.125 0.625

* spin magnetization: 0.0 μB/cell
* mass density: 6.29 Mg/m³
* symmetry: R-3m

Here is how they stack up, most stable first: model a, model b.

Model a:
Density functional theory data (PBE) for a relaxed structure of CaTiCu2.

Cell: 3.245 3.245 6.836 Å, 90.00 90.00 90.00°
Atoms (fractional coordinates):
Ti 0.500 0.500 0.000
Ca 0.500 0.500 0.500
Cu 0.000 0.000 0.807
Cu 0.000 0.000 0.193

* spin magnetization: 0.4 μB/cell
* mass density: 4.96 Mg/m³
* symmetry: P4/mmm

Model b:
Density functional theory data (PBE) for a relaxed structure of CaTiCu2.

Cell: 4.657 4.657 4.657 Å, 60.00 60.00 60.00°
Atoms (fractional coordinates):
Ca 0.000 0.000 0.000
Cu 0.750 0.750 0.750
Cu 0.250 0.250 0.250
Ti 0.500 0.500 0.500

* spin magnetization: 0.0 μB/cell
* mass density: 5.00 Mg/m³
* symmetry: Fm-3m

Here is how they stack up, most stable first: model a, model b.

Model a:
Density functional theory data (PBE) for a relaxed structure of CaTi2Cu2.

Cell: 7.831 7.831 2.857 Å, 90.00 90.00 90.00°
Atoms (fractional coordinates):
Cu 0.675 0.825 0.500
Cu 0.825 0.325 0.500
Cu 0.175 0.675 0.500
Cu 0.325 0.175 0.500
Ti 0.118 0.382 0.000
Ti 0.882 0.618 0.000
Ti 0.618 0.118 0.000
Ti 0.382 0.882 0.000
Ca 0.500 0.500 0.000
Ca 0.000 0.000 0.000

* spin magnetization: 2.1 μB/cell
* mass density: 4.98 Mg/m³
* symmetry: P4/mbm

Model b:
Density functional theory data (PBE) for a relaxed structure of CaTi2Cu2.

Cell: 7.807 7.807 2.879 Å, 90.00 90.00 90.00°
Atoms (fractional coordinates):
Cu 0.128 0.372 0.000
Cu 0.872 0.628 0.000
Cu 0.628 0.128 0.000
Cu 0.372 0.872 0.000
Ti 0.340 0.160 0.500
Ti 0.160 0.660 0.500
Ti 0.660 0.840 0.500
Ti 0.840 0.340 0.500
Ca 0.000 0.000 0.000
Ca 0.500 0.500 0.000

* spin magnetization: 0.0 μB/cell
* mass density: 4.98 Mg/m³
* symmetry: P4/mbm

Model c:
Density functional theory data (PBE) for a relaxed structure of CaTi2Cu2.

Cell: 4.558 4.558 5.792 Å, 66.83 66.83 90.00°
Atoms (fractional coordinates):
Ti 0.357 0.357 0.285
Ti 0.643 0.643 0.715
Cu 0.250 0.750 0.500
Cu 0.750 0.250 0.500
Ca 0.000 0.000 0.000

* spin magnetization: 1.7 μB/cell
* mass density: 4.37 Mg/m³
* symmetry: I4/mmm

Here is how they stack up, most stable first: model a, model b, model c.

Model a:
Density functional theory data (PBE) for a relaxed structure of CaTi2Cu.

Cell: 3.865 3.865 11.027 Å, 79.91 79.91 90.00°
Atoms (fractional coordinates):
Ca 0.500 0.500 0.000
Ca 0.250 0.750 0.500
Cu 0.000 0.000 0.000
Cu 0.750 0.250 0.500
Ti 0.375 0.350 0.750
Ti 0.100 0.625 0.250
Ti 0.650 0.125 0.250
Ti 0.875 0.900 0.750

* spin magnetization: 0.0 μB/cell
* mass density: 4.15 Mg/m³
* symmetry: I-42d

Model b:
Density functional theory data (PBE) for a relaxed structure of CaTi2Cu.

Cell: 4.711 4.711 4.711 Å, 60.00 60.00 60.00°
Atoms (fractional coordinates):
Ca 0.000 0.000 0.000
Cu 0.500 0.500 0.500
Ti 0.750 0.750 0.750
Ti 0.250 0.250 0.250

* spin magnetization: 0.0 μB/cell
* mass density: 4.48 Mg/m³
* symmetry: Fm-3m

Here is how they stack up, most stable first: model a, model b.